Entry 1:
Here is crystalline CaPm4Pt4 at its relaxed geometry from Alexandria via LeMat-Bulk. Energies are from PBE-GGA.

a b c (Å): 9.3870 9.3870 5.8212
angles (deg): 90.00 90.00 90.00
Fractional coordinates of all 18 atoms:
Ca: 0.2500 0.2500 0.2500
Ca: 0.7500 0.7500 0.7500
Pm: 0.0697 0.6476 0.2474
Pm: 0.1476 0.9303 0.7474
Pm: 0.3524 0.5697 0.7474
Pm: 0.4303 0.8524 0.2474
Pm: 0.5697 0.1476 0.7526
Pm: 0.6476 0.4303 0.2526
Pm: 0.8524 0.0697 0.2526
Pm: 0.9303 0.3524 0.7526
Pt: 0.0468 0.6426 0.7474
Pt: 0.1426 0.9532 0.2474
Pt: 0.3574 0.5468 0.2474
Pt: 0.4532 0.8574 0.7474
Pt: 0.5468 0.1426 0.2526
Pt: 0.6426 0.4532 0.7526
Pt: 0.8574 0.0468 0.7526
Pt: 0.9532 0.3574 0.2526

Calculated values
Raw total energy in eV for the cell shown: -107.62
DFT formation energy in eV/atom: -0.960



Entry 2:
Here is crystalline Ca2PmPt9 at its relaxed geometry from Alexandria via LeMat-Bulk. Energies are from PBE-GGA.

a b c (Å): 9.4264 9.4264 9.4264
angles (deg): 33.43 33.43 33.43
Fractional coordinates of all 12 atoms:
Ca: 0.1420 0.1420 0.1420
Ca: 0.8580 0.8580 0.8580
Pm: 0.0000 0.0000 0.0000
Pt: 0.0815 0.5857 0.5857
Pt: 0.3329 0.3329 0.3329
Pt: 0.4143 0.4143 0.9185
Pt: 0.4143 0.9185 0.4143
Pt: 0.5000 0.5000 0.5000
Pt: 0.5857 0.0815 0.5857
Pt: 0.5857 0.5857 0.0815
Pt: 0.6671 0.6671 0.6671
Pt: 0.9185 0.4143 0.4143

Calculated values
Raw total energy in eV for the cell shown: -73.09
DFT formation energy in eV/atom: -0.831



Entry 3:
Here is crystalline Ca2Pm2Pt2Rh at its relaxed geometry from Alexandria via LeMat-Bulk. Energies are from PBE-GGA.

a b c (Å): 7.5242 7.5242 7.6289
angles (deg): 115.04 115.04 29.18
Fractional coordinates of all 7 atoms:
Ca: 0.2147 0.2147 0.2716
Ca: 0.7853 0.7853 0.7284
Pm: 0.4699 0.4699 0.2440
Pm: 0.5301 0.5301 0.7560
Pt: 0.1118 0.1118 0.5429
Pt: 0.8882 0.8882 0.4571
Rh: 0.0000 0.0000 0.0000

Calculated values
Raw total energy in eV for the cell shown: -38.33
DFT formation energy in eV/atom: -0.770



Which value of DFT formation energy does entry 3 give?
-0.770 eV/atom



DFT formation energy of number 3 (Ca2Pm2Pt2Rh)?
-0.770 eV/atom